Here is a geometry-optimized NaSeIN2 structure from Alexandria via LeMat-Bulk. Energies are from GGA-PBE.

## Properties
Its density of states at the Fermi level is 0.6617 states/eV per atom. For the uncorrected formation energy, the calculation gives 9.17 eV/f.u. The excess energy over the best structure of this formula in the dataset is 3.773 eV per formula unit. Its total energy is -13.8 eV per cell.

a = 4.497 Å, b = 4.497 Å, c = 6.609 Å
α = 90.00°, β = 90.00°, γ = 90.00°
Element x y z (fractional)
Na 0.000 0.000 0.000
Se 0.500 0.500 0.500
I 0.000 0.000 0.500
N 0.000 0.500 0.000
N 0.500 0.000 0.000

Here is a geometry-optimized Cr3As structure from Alexandria via LeMat-Bulk. Energies are from GGA-PBE.

## Properties
Its density of states at the Fermi level is 0.9383 states/eV per atom. Its total energy is -32.3 eV per cell. The calculation puts the energy of formation at 0.2930 eV per atom.

a = 2.674 Å, b = 2.674 Å, c = 7.592 Å
α = 90.00°, β = 90.00°, γ = 110.34°
Element x y z (fractional)
Cr 0.000 0.000 0.000
Cr 0.500 0.500 0.244
Cr 0.500 0.500 0.756
As 0.000 0.000 0.500

Here is a geometry-optimized Cu3Ni structure from Alexandria via LeMat-Bulk. Energies are from GGA-PBE.

## Properties
Its density of states at the Fermi level is 0.6982 states/eV per atom. Its total energy is -18.0 eV per cell. The calculation puts the energy of formation at 0.0124 eV per atom.

a = 4.392 Å, b = 4.392 Å, c = 4.412 Å
α = 99.27°, β = 99.27°, γ = 33.56°
Element x y z (fractional)
Cu 0.000 0.000 0.000
Cu 0.248 0.248 0.747
Cu 0.752 0.752 0.253
Ni 0.500 0.500 0.500

Here is a geometry-optimized Tc8W structure from Alexandria via LeMat-Bulk. Energies are from GGA-PBE.

## Properties
Its density of states at the Fermi level is 0.9272 states/eV per atom. Its total energy is -95.1 eV per cell. The calculation puts the energy of formation at 0.0834 eV per atom.

a = 6.179 Å, b = 6.179 Å, c = 6.179 Å
α = 95.63°, β = 95.63°, γ = 143.50°
Element x y z (fractional)
Tc 0.000 0.337 0.337
Tc 0.000 0.663 0.663
Tc 0.330 0.330 0.659
Tc 0.330 0.670 0.000
Tc 0.337 0.000 0.337
Tc 0.663 0.000 0.663
Tc 0.670 0.330 0.000
Tc 0.670 0.670 0.341
W 0.000 0.000 0.000